No. 1
A relaxed structure of Pu3Si4Ni2. Source: the Alexandria database, functional PBE-GGA.

Lattice parameters (Å, degrees): 4.000 5.681 7.968 100.75 90.00 110.62
Fractional coordinates of all 9 atoms:
Ni (0.396, 0.792, 0.725)
Ni (0.604, 0.208, 0.275)
Pu (0.000, 0.000, 0.000)
Pu (0.331, 0.662, 0.339)
Pu (0.669, 0.338, 0.661)
Si (0.722, 0.445, 0.067)
Si (0.278, 0.555, 0.933)
Si (0.051, 0.102, 0.381)
Si (0.949, 0.898, 0.619)

Output
As for the density: 9.617 g/cm³. The formation energy (no corrections) comes out at -0.515 eV per atom. For the energy above the most stable polymorph in this dataset, the calculation gives 19 meV/atom. The value obtained for the magnetization is 15.3 μB/cell. The space group is C2/m.



No. 2
A relaxed structure of HfMgNO2. Source: the Alexandria database, functional PBE-GGA.

Lattice parameters (Å, degrees): 4.062 4.062 4.177 90.00 90.00 90.00
Fractional coordinates of all 5 atoms:
Hf (0.000, 0.000, 0.000)
Mg (0.500, 0.500, 0.500)
O (0.000, 0.500, 0.000)
O (0.500, 0.000, 0.000)
N (0.000, 0.000, 0.500)

Output
As for the density: 5.995 g/cm³. The formation energy (no corrections) comes out at -1.613 eV per atom. The value obtained for the magnetization is 0.4 μB/cell. The space group is P4/mmm.



No. 3
A relaxed structure of Zr2PbCl. Source: the Alexandria database, functional PBE-GGA.

Lattice parameters (Å, degrees): 6.202 6.202 6.202 149.25 131.16 58.83
Fractional coordinates of all 4 atoms:
Zr (0.985, 0.985, 0.000)
Zr (0.732, 0.232, 0.500)
Cl (0.533, 0.533, 0.000)
Pb (0.251, 0.751, 0.500)

Output
As for the density: 7.750 g/cm³. The formation energy (no corrections) comes out at -0.247 eV per atom. For the energy above the most stable polymorph in this dataset, the calculation gives 264 meV/atom. The value obtained for the magnetization is 0.0 μB/cell. The space group is Imm2.



No. 4
A relaxed structure of AcNd2ErTm. Source: the Alexandria database, functional PBE-GGA.

Lattice parameters (Å, degrees): 5.888 9.866 6.428 109.33 90.00 90.00
Fractional coordinates of all 10 atoms:
Nd (0.250, 0.300, 0.567)
Nd (0.250, 0.503, 0.165)
Nd (0.750, 0.700, 0.433)
Nd (0.750, 0.497, 0.835)
Er (0.750, 0.105, 0.628)
Er (0.250, 0.895, 0.372)
Ac (0.250, 0.105, 0.968)
Ac (0.750, 0.895, 0.032)
Tm (0.250, 0.692, 0.757)
Tm (0.750, 0.308, 0.243)

Output
As for the density: 8.027 g/cm³. For the energy, the calculation gives -4.49 eV/atom. The value obtained for the magnetization is 0.0 μB/cell. The space group is P2_1/m.